[1]
Here is a relaxed SrPb2AuO crystal from the Alexandria database. Energies are from GGA-PBE.

ΔE_f (raw): 1.1 eV per formula unit

Unit cell a=5.3186 b=5.3186 c=6.2342 alpha=90.00 beta=90.00 gamma=90.00
Closest atoms and distances in Å follow each position.
Space group P4/mmm (No. 123)
Asymmetric unit:
Sr1 0.0000 0.0000 0.0000 (multiplicity 1)  2 Au 3.12
Pb1 0.0000 0.5000 0.5000 (multiplicity 2)  2 Au 2.66
Au1 0.0000 0.0000 0.5000 (multiplicity 1)  4 Pb 2.66
O1 0.5000 0.5000 0.0000 (multiplicity 1)  4 Sr 3.76, 8 Pb 4.10



[2]
Here is a relaxed SrPbAuO4 crystal from the Alexandria database. Energies are from GGA-PBE.

ΔE_f (raw): -7.2 eV per formula unit

Unit cell a=6.6549 b=10.0463 c=7.4461 alpha=90.00 beta=90.00 gamma=90.00
Closest atoms and distances in Å follow each position.
Space group Cmcm (No. 63)
Asymmetric unit:
Sr1 0.0000 0.0000 0.0000 (multiplicity 4)  6 O 2.52
Pb1 0.0000 0.3718 0.2500 (multiplicity 4)  4 O 2.09-2.12
Au1 0.0000 0.2924 0.7500 (multiplicity 4)  2 O 2.03
O1 0.0000 0.2508 0.0168 (multiplicity 8)  1 Au 2.03, 1 Pb 2.12
O2 0.2444 0.4969 0.7500 (multiplicity 8)  1 Pb 2.09



[3]
Here is a relaxed Tc2PbAuO8 crystal from the Alexandria database. Energies are from GGA-PBE.

ΔE_f (raw): -11.5 eV per formula unit

Unit cell a=5.5562 b=5.5562 c=21.7915 alpha=90.00 beta=90.00 gamma=120.00
Closest atoms and distances in Å follow each position.
Space group R32 (No. 155, hexagonal axes)
Asymmetric unit:
Tc1 0.0000 0.0000 0.2411 (multiplicity 6)  4 O 1.76-1.77
Pb1 0.0000 0.0000 0.5000 (multiplicity 3)  6 O 2.77
Au1 0.0000 0.0000 0.0000 (multiplicity 3)  6 O 2.63
O1 0.0000 0.0000 0.1606 (multiplicity 6)  1 Tc 1.76
O2 0.0066 0.3947 0.9323 (multiplicity 18)  1 Tc 1.77



Question: What is the formula in the second record?
Answer: SrPbAuO4



Copy entry 3 word for word.
Here is a relaxed Tc2PbAuO8 crystal from the Alexandria database. Energies are from GGA-PBE.

ΔE_f (raw): -11.5 eV per formula unit

Unit cell a=5.5562 b=5.5562 c=21.7915 alpha=90.00 beta=90.00 gamma=120.00
Closest atoms and distances in Å follow each position.
Space group R32 (No. 155, hexagonal axes)
Asymmetric unit:
Tc1 0.0000 0.0000 0.2411 (multiplicity 6)  4 O 1.76-1.77
Pb1 0.0000 0.0000 0.5000 (multiplicity 3)  6 O 2.77
Au1 0.0000 0.0000 0.0000 (multiplicity 3)  6 O 2.63
O1 0.0000 0.0000 0.1606 (multiplicity 6)  1 Tc 1.76
O2 0.0066 0.3947 0.9323 (multiplicity 18)  1 Tc 1.77



Question: The lowest ΔE_f (raw) belongs to which entry?
Answer: Tc2PbAuO8